Record 1
This record from the Alexandria database describes KTe2Se after structural relaxation. The functional is GGA-PBE.

Unit cell a=3.893 b=3.893 c=8.193 alpha=90.00 beta=90.00 gamma=90.00
Sites, in units of the cell vectors:
K (0.000, 0.000, 0.541)
Te (0.500, 0.500, 0.189)
Te (0.000, 0.000, 0.009)
Se (0.500, 0.500, 0.762)

Properties
- Formation energy without anion corrections: -124 meV/atom



Record 2
This record from the Alexandria database describes Pm4PrCu4 after structural relaxation. The functional is GGA-PBE.

Unit cell a=6.162 b=8.765 c=8.765 alpha=90.00 beta=90.00 gamma=90.00
Sites, in units of the cell vectors:
Pm (0.100, 0.196, 0.589)
Pm (0.600, 0.089, 0.304)
Pm (0.100, 0.804, 0.411)
Pm (0.400, 0.304, 0.911)
Pm (0.900, 0.411, 0.196)
Pm (0.900, 0.589, 0.804)
Pm (0.600, 0.911, 0.696)
Pm (0.400, 0.696, 0.089)
Cu (0.365, 0.631, 0.775)
Cu (0.365, 0.369, 0.225)
Cu (0.135, 0.869, 0.725)
Cu (0.635, 0.225, 0.631)
Cu (0.135, 0.131, 0.275)
Cu (0.635, 0.775, 0.369)
Cu (0.865, 0.275, 0.869)
Cu (0.865, 0.725, 0.131)
Pr (0.500, 0.500, 0.500)
Pr (0.000, 0.000, 0.000)

Properties
- Energy relative to the elements: 0.002 eV/atom



Record 3
This record from the Alexandria database describes MgAu2Br after structural relaxation. The functional is GGA-PBE.

Unit cell a=4.698 b=4.478 c=4.557 alpha=73.42 beta=90.00 gamma=90.00
Sites, in units of the cell vectors:
Au (0.000, 0.950, 0.953)
Au (0.000, 0.550, 0.547)
Mg (0.500, 0.750, 0.750)
Br (0.500, 0.250, 0.250)

Properties
- Formation energy without anion corrections: -256 meV/atom



Number 1: E_tot -11.4 eV/cell. Number 2: E_tot -80.3 eV/cell. Number 3: E_tot -10.8 eV/cell.